Record 1
{
  "formula": "Tl2BrCl",
  "functional": "PBE-GGA",
  "state": "relaxed",
  "cell": [[-0.6427, -4.5240, 4.9031], [1.8925, -6.2075, 1.6752], [3.9878, 1.8062, 2.1900]],
  "species": ["Br", "Tl", "Cl", "Tl"],
  "fractional_positions": [[0.5093, 0.5093, 0.6248], [0.7591, 0.7591, 0.6247], [0.2342, 0.2342, 0.1257], [0.9973, 0.9973, 0.1248]],
  "total_magnetization_mub_per_fu": 0.0,
  "e_above_lowest_polymorph_mev_per_atom": 24,
  "raw_formation_energy_ev_per_atom": -0.914,
  "sg": "Amm2, No. 38"
}

Record 2
{
  "formula": "Tl2BrCl",
  "functional": "PBE-GGA",
  "state": "relaxed",
  "cell": [[4.6822, 0.0000, 0.0000], [0.0000, 8.1185, -0.0015], [0.0000, 5.4130, 3.8406]],
  "species": ["Br", "Cl", "Tl", "Tl"],
  "fractional_positions": [[0.5000, 0.5000, 0.5000], [0.0000, 0.0000, 0.5000], [0.5000, 0.5000, 0.0000], [0.0000, 0.0000, 0.0000]],
  "total_magnetization_mub_per_fu": 0.0,
  "e_above_lowest_polymorph_mev_per_atom": 5,
  "raw_formation_energy_ev_per_atom": -0.933,
  "sg": "P2/m, No. 10"
}

Record 3
{
  "formula": "Tl5BrCl4",
  "functional": "PBE-GGA",
  "state": "relaxed",
  "cell": [[4.5134, 0.0000, 1.0310], [1.9044, 7.5170, 2.0579], [0.0083, 0.0035, 10.3586]],
  "species": ["Tl", "Cl", "Cl", "Tl", "Cl", "Tl", "Tl", "Cl", "Br", "Tl"],
  "fractional_positions": [[0.2024, 0.9014, 0.6938], [0.7978, 0.6081, 0.7962], [0.5965, 0.2041, 0.6030], [0.0000, 0.5000, 0.5000], [0.2022, 0.3919, 0.2038], [0.6043, 0.6869, 0.1045], [0.7976, 0.0986, 0.3062], [0.4035, 0.7959, 0.3970], [0.0000, 0.0000, 0.0000], [0.3957, 0.3131, 0.8955]],
  "total_magnetization_mub_per_fu": 0.0,
  "e_above_lowest_polymorph_mev_per_atom": 1,
  "raw_formation_energy_ev_per_atom": -0.983,
  "sg": "C2/m, No. 12"
}

Record 4
{
  "formula": "Tl3BrCl2",
  "functional": "PBE-GGA",
  "state": "relaxed",
  "cell": [[6.5957, -0.0107, 0.0000], [0.0144, 9.2989, 0.0000], [0.0000, 0.0000, 13.9754]],
  "species": ["Tl", "Cl", "Tl", "Br", "Br", "Cl", "Cl", "Tl", "Tl", "Br", "Tl", "Cl", "Tl", "Tl", "Tl", "Tl", "Tl", "Cl", "Cl", "Br", "Cl", "Tl", "Tl", "Cl"],
  "fractional_positions": [[0.2504, 0.1351, 0.9142], [0.7488, 0.1244, 0.2430], [0.7496, 0.3649, 0.4142], [0.2498, 0.8735, 0.0784], [0.2498, 0.3735, 0.4216], [0.7501, 0.6220, 0.9141], [0.2499, 0.3780, 0.0859], [0.7496, 0.8649, 0.0858], [0.2503, 0.6159, 0.9117], [0.7502, 0.6265, 0.5784], [0.7497, 0.8841, 0.4117], [0.2499, 0.8780, 0.4141], [0.7506, 0.8737, 0.7530], [0.7497, 0.3841, 0.0883], [0.7506, 0.3737, 0.7470], [0.2504, 0.6351, 0.5858], [0.2503, 0.1159, 0.5883], [0.2512, 0.8756, 0.7570], [0.7501, 0.1220, 0.5859], [0.7502, 0.1265, 0.9216], [0.2512, 0.3756, 0.7430], [0.2494, 0.6263, 0.2530], [0.2494, 0.1263, 0.2470], [0.7488, 0.6244, 0.2570]],
  "total_magnetization_mub_per_fu": 0.0,
  "raw_formation_energy_ev_per_atom": -0.961,
  "sg": "P2_1/c, No. 14"
}

Record 5
{
  "formula": "TlBrCl3",
  "functional": "PBE-GGA",
  "state": "relaxed",
  "cell": [[-4.1539, -2.7034, 1.9360], [-0.7250, -2.2870, -4.7492], [3.2451, -3.9714, 1.4171]],
  "species": ["Cl", "Cl", "Tl", "Br", "Cl"],
  "fractional_positions": [[0.0000, 0.0000, 0.5000], [0.5000, 0.0000, 0.0000], [0.0000, 0.0000, 0.0000], [0.5000, 0.5000, 0.5000], [0.0000, 0.5000, 0.0000]],
  "total_magnetization_mub_per_fu": 1.3,
  "e_above_lowest_polymorph_mev_per_atom": 310,
  "raw_formation_energy_ev_per_atom": -0.151,
  "sg": "Pm-3m, No. 221"
}

Record 6
{
  "formula": "TlBrCl2",
  "functional": "PBE-GGA",
  "state": "relaxed",
  "cell": [[5.3567, -0.0340, -0.1175], [3.0512, 4.4028, -0.1175], [-0.0713, -0.0371, 6.2636]],
  "species": ["Br", "Cl", "Tl", "Cl"],
  "fractional_positions": [[0.2500, 0.2500, 0.2500], [0.0790, 0.0790, 0.9529], [0.7500, 0.7500, 0.7500], [0.4210, 0.4210, 0.5471]],
  "total_magnetization_mub_per_fu": 0.0,
  "e_above_lowest_polymorph_mev_per_atom": 52,
  "raw_formation_energy_ev_per_atom": -0.544,
  "sg": "C2/m, No. 12"
}